Entry 1:
# DyNpGe2O8 | Alexandria via LeMat-Bulk | PBE | optimized geometry
# N(E_F)   0.57 states/eV per atom
# E   -190.6 eV per cell
data_DyNpGe2O8
_space_group_name_H-M_alt 'I -4 m 2'
_space_group_IT_number 119
_space_group_name_Hall 'I -4 -2'
_cell_length_a 7.0352
_cell_length_b 7.0352
_cell_length_c 6.4571
_cell_angle_alpha 90.00
_cell_angle_beta 90.00
_cell_angle_gamma 90.00
loop_
_atom_site_label
_atom_site_type_symbol
_atom_site_fract_x
_atom_site_fract_y
_atom_site_fract_z
Dy1 Dy 0.0000 0.0000 0.0000
Np1 Np 0.0000 0.5000 0.2500
Ge1 Ge 0.0000 0.0000 0.5000
Ge2 Ge 0.0000 0.5000 0.7500
O1 O 0.0000 0.1898 0.3189
O2 O 0.0000 0.3179 0.9387

Entry 2:
# CdH2Pd9Pb3 | Alexandria via LeMat-Bulk | PBE | optimized geometry
# N(E_F)   0.33 states/eV per atom
# E   -68.4 eV per cell
data_CdH2Pd9Pb3
_space_group_name_H-M_alt 'P -3 m 1'
_space_group_IT_number 164
_space_group_name_Hall '-P 3 2"'
_cell_length_a 5.6841
_cell_length_b 5.6841
_cell_length_c 9.2239
_cell_angle_alpha 90.00
_cell_angle_beta 90.00
_cell_angle_gamma 120.00
loop_
_atom_site_label
_atom_site_type_symbol
_atom_site_fract_x
_atom_site_fract_y
_atom_site_fract_z
Cd1 Cd 0.0000 0.0000 0.0000
H1 H 0.3333 0.6667 0.6242
Pd1 Pd 0.0000 0.5000 0.5000
Pd2 Pd 0.1681 0.3361 0.7598
Pb1 Pb 0.0000 0.0000 0.5000
Pb2 Pb 0.3333 0.6667 0.1777

Entry 3:
# VHS | Alexandria via LeMat-Bulk | PBE | optimized geometry
# N(E_F)   0.11 states/eV per atom
# E   -17.8 eV per cell
data_VHS
_space_group_name_H-M_alt 'P 3 m 1'
_space_group_IT_number 156
_space_group_name_Hall 'P 3 -2"'
_cell_length_a 2.9581
_cell_length_b 2.9581
_cell_length_c 5.3924
_cell_angle_alpha 90.00
_cell_angle_beta 90.00
_cell_angle_gamma 120.00
loop_
_atom_site_label
_atom_site_type_symbol
_atom_site_fract_x
_atom_site_fract_y
_atom_site_fract_z
V1 V 0.0000 0.0000 0.0000
H1 H 0.3333 0.6667 0.8501
S1 S 0.6667 0.3333 0.2833

Entry 4:
# AlTl2W2 | Alexandria via LeMat-Bulk | PBE | optimized geometry
# N(E_F)   0.97 states/eV per atom
# Energy of formation from the pure elements   1205 meV per atom
data_AlTl2W2
_space_group_name_H-M_alt 'I 4/m m m'
_space_group_IT_number 139
_space_group_name_Hall '-I 4 2'
_cell_length_a 3.8815
_cell_length_b 3.8815
_cell_length_c 14.3517
_cell_angle_alpha 90.00
_cell_angle_beta 90.00
_cell_angle_gamma 90.00
loop_
_atom_site_label
_atom_site_type_symbol
_atom_site_fract_x
_atom_site_fract_y
_atom_site_fract_z
Al1 Al 0.0000 0.0000 0.0000
Tl1 Tl 0.0000 0.5000 0.2500
W1 W 0.0000 0.0000 0.4173

Entry 5:
# Rb3TaTi2O8 | Alexandria via LeMat-Bulk | PBE | optimized geometry
# N(E_F)   0.00 states/eV per atom
# E   -107.0 eV per cell
data_Rb3TaTi2O8
_space_group_name_H-M_alt 'P -3 m 1'
_space_group_IT_number 164
_space_group_name_Hall '-P 3 2"'
_cell_length_a 5.9246
_cell_length_b 5.9246
_cell_length_c 8.0890
_cell_angle_alpha 90.00
_cell_angle_beta 90.00
_cell_angle_gamma 120.00
loop_
_atom_site_label
_atom_site_type_symbol
_atom_site_fract_x
_atom_site_fract_y
_atom_site_fract_z
Rb1 Rb 0.0000 0.0000 0.0000
Rb2 Rb 0.3333 0.6667 0.7345
Ta1 Ta 0.0000 0.0000 0.5000
Ti1 Ti 0.3333 0.6667 0.2838
O1 O 0.1597 0.3194 0.3567
O2 O 0.3333 0.6667 0.0710

Entry 6:
# CaTa3Ru | Alexandria via LeMat-Bulk | PBE | optimized geometry
# N(E_F)   1.49 states/eV per atom
# Energy of formation from the pure elements   2720 meV per atom
data_CaTa3Ru
_space_group_name_H-M_alt 'P m -3 m'
_space_group_IT_number 221
_space_group_name_Hall '-P 4 2 3'
_cell_length_a 4.6177
_cell_length_b 4.6177
_cell_length_c 4.6177
_cell_angle_alpha 90.00
_cell_angle_beta 90.00
_cell_angle_gamma 90.00
loop_
_atom_site_label
_atom_site_type_symbol
_atom_site_fract_x
_atom_site_fract_y
_atom_site_fract_z
Ca1 Ca 0.0000 0.0000 0.0000
Ta1 Ta 0.0000 0.0000 0.5000
Ru1 Ru 0.5000 0.5000 0.5000

Entry 7:
# KIrOs2 | Alexandria via LeMat-Bulk | PBE | optimized geometry
# N(E_F)   0.84 states/eV per atom
# Energy of formation from the pure elements   914 meV per atom
data_KIrOs2
_space_group_name_H-M_alt 'P m m m'
_space_group_IT_number 47
_space_group_name_Hall '-P 2 2'
_cell_length_a 2.6792
_cell_length_b 3.8916
_cell_length_c 7.8591
_cell_angle_alpha 90.00
_cell_angle_beta 90.00
_cell_angle_gamma 90.00
loop_
_atom_site_label
_atom_site_type_symbol
_atom_site_fract_x
_atom_site_fract_y
_atom_site_fract_z
K1 K 0.0000 0.0000 0.0000
Ir1 Ir 0.0000 0.0000 0.5000
Os1 Os 0.5000 0.5000 0.3392

Entry 8:
# Lu2ZnTe | Alexandria via LeMat-Bulk | PBE | optimized geometry
# N(E_F)   0.78 states/eV per atom
# E   -15.8 eV per cell
data_Lu2ZnTe
_space_group_name_H-M_alt 'P 4/m m m'
_space_group_IT_number 123
_space_group_name_Hall '-P 4 2'
_cell_length_a 3.6879
_cell_length_b 3.6879
_cell_length_c 7.0375
_cell_angle_alpha 90.00
_cell_angle_beta 90.00
_cell_angle_gamma 90.00
loop_
_atom_site_label
_atom_site_type_symbol
_atom_site_fract_x
_atom_site_fract_y
_atom_site_fract_z
Lu1 Lu 0.0000 0.0000 0.2371
Zn1 Zn 0.5000 0.5000 0.0000
Te1 Te 0.5000 0.5000 0.5000